## A
Material: HfAg3Rh
Method: DFT, PBEsol
State: relaxed

Output
- DOS(E_F) (states/eV/cell) = 6.832
- total magnetization (Bohr magnetons per cell) = 0.08

Cell lengths 4.7995, 4.7995, 4.7995 Å; angles 90.00, 90.00, 90.00 degrees
Closest atoms and distances in Å follow each position.
Atoms (fractional coordinates):
Rh 0.0000 0.0000 0.0000  6 Ag 2.40
Hf 0.5000 0.5000 0.5000  12 Ag 3.39
Ag 0.0000 0.5000 0.0000  2 Rh 2.40
Ag 0.0000 0.0000 0.5000  2 Rh 2.40
Ag 0.5000 0.0000 0.0000  2 Rh 2.40

---

## B
Material: HfAg3Rh
Method: DFT, PBEsol
State: relaxed

Output
- DOS(E_F) (states/eV/cell) = 6.823
- total magnetization (Bohr magnetons per cell) = 0.00

Cell lengths 4.9190, 4.9190, 4.9190 Å; angles 90.00, 90.00, 90.00 degrees
Closest atoms and distances in Å follow each position.
Atoms (fractional coordinates):
Rh 0.5000 0.5000 0.5000  12 Ag 3.48
Hf 0.0000 0.0000 0.0000  6 Ag 2.46
Ag 0.0000 0.5000 0.0000  2 Hf 2.46
Ag 0.0000 0.0000 0.5000  2 Hf 2.46
Ag 0.5000 0.0000 0.0000  2 Hf 2.46

---

List of relative energies, unit kJ/mol of atoms: A 0.0; B 56.8

---

## A
Material: AgHg
Method: DFT, PBEsol
State: relaxed

Output
- DOS(E_F) (states/eV/cell) = 2.508
- total magnetization (Bohr magnetons per cell) = 0.00

Cell lengths 5.3583, 5.3583, 5.3583 Å; angles 90.00, 90.00, 90.00 degrees
Closest atoms and distances in Å follow each position.
Atoms (fractional coordinates):
Hg 0.1548 0.1548 0.1548  7 Ag 2.82-2.91
Hg 0.3452 0.8452 0.6548  7 Ag 2.82-2.91
Hg 0.6548 0.3452 0.8452  7 Ag 2.82-2.91
Hg 0.8452 0.6548 0.3452  7 Ag 2.82-2.91
Ag 0.1488 0.3512 0.6488  7 Hg 2.82-2.91
Ag 0.3512 0.6488 0.1488  7 Hg 2.82-2.91
Ag 0.6488 0.1488 0.3512  7 Hg 2.82-2.91
Ag 0.8512 0.8512 0.8512  7 Hg 2.82-2.91

---

## B
Material: AgHg
Method: DFT, PBEsol
State: relaxed

Output
- DOS(E_F) (states/eV/cell) = 0.996
- total magnetization (Bohr magnetons per cell) = 0.00

Cell lengths 3.0580, 3.0580, 9.4917 Å; angles 90.00, 90.00, 120.00 degrees
Closest atoms and distances in Å follow each position.
Atoms (fractional coordinates):
Hg 0.6667 0.3333 0.6385  3 Ag 2.93, 9 Hg 3.06-3.17
Hg 0.3333 0.6667 0.3615  3 Ag 2.93, 9 Hg 3.06-3.17
Ag 0.6667 0.3333 0.1149  9 Ag 2.81-3.06, 3 Hg 2.93
Ag 0.3333 0.6667 0.8851  9 Ag 2.81-3.06, 3 Hg 2.93

---

List of relative energies, unit kJ/mol of atoms: A 1.0; B 0.0

---

## A
Material: AgHg
Method: DFT, PBEsol
State: relaxed

Output
- DOS(E_F) (states/eV/cell) = 0.507
- total magnetization (Bohr magnetons per cell) = 0.00

Cell lengths 3.0950, 3.0950, 4.5741 Å; angles 90.00, 90.00, 120.00 degrees
Closest atoms and distances in Å follow each position.
Atoms (fractional coordinates):
Hg 0.6667 0.3333 0.5000  6 Ag 2.90, 6 Hg 3.10
Ag 0.0000 0.0000 0.0000  6 Hg 2.90, 6 Ag 3.10

---

## B
Material: AgHg
Method: DFT, PBEsol
State: relaxed

Output
- DOS(E_F) (states/eV/cell) = 0.573
- total magnetization (Bohr magnetons per cell) = 0.00

Cell lengths 3.0595, 3.0595, 4.9951 Å; angles 72.17, 72.17, 60.00 degrees
Closest atoms and distances in Å follow each position.
Atoms (fractional coordinates):
Hg 0.5000 0.5000 0.5000  6 Ag 2.93, 6 Hg 3.06
Ag 0.0000 0.0000 0.0000  6 Hg 2.93, 6 Ag 3.06

---

List of relative energies, unit kJ/mol of atoms: A 0.0; B 0.9

---

## A
Material: AgHgSI
Method: DFT, PBEsol
State: relaxed

Output
- total magnetization (Bohr magnetons per cell) = 0.00

Cell lengths 7.0456, 7.5016, 8.4807 Å; angles 90.00, 90.00, 90.00 degrees
Closest atoms and distances in Å follow each position.
Atoms (fractional coordinates):
Ag 0.1199 0.1892 0.3772  2 S 2.52-2.53, 1 I 2.76
Ag 0.6199 0.3108 0.6228  2 S 2.52-2.53, 1 I 2.76
Ag 0.3801 0.8108 0.8772  2 S 2.52-2.53, 1 I 2.76
Ag 0.8801 0.6892 0.1228  2 S 2.52-2.53, 1 I 2.76
Hg 0.2274 0.2740 0.9667  2 S 2.38
Hg 0.2726 0.7260 0.4667  2 S 2.38
Hg 0.7726 0.7740 0.5333  2 S 2.38
Hg 0.7274 0.2260 0.0333  2 S 2.38
S 0.9934 0.3706 0.1507  2 Hg 2.38, 2 Ag 2.52-2.53
S 0.5066 0.6294 0.6507  2 Hg 2.38, 2 Ag 2.52-2.53
S 0.0066 0.8706 0.3493  2 Hg 2.38, 2 Ag 2.52-2.53
S 0.4934 0.1294 0.8493  2 Hg 2.38, 2 Ag 2.52-2.53
I 0.9851 0.8806 0.8585  2 Ag 2.76-2.84
I 0.4851 0.6194 0.1415  2 Ag 2.76-2.84
I 0.5149 0.1194 0.3585  2 Ag 2.76-2.84
I 0.0149 0.3806 0.6415  2 Ag 2.76-2.84

---

## B
Material: AgHgSI
Method: DFT, PBEsol
State: relaxed

Output
- total magnetization (Bohr magnetons per cell) = 0.00

Cell lengths 4.5175, 10.1419, 9.7400 Å; angles 90.00, 90.00, 90.00 degrees
Closest atoms and distances in Å follow each position.
Atoms (fractional coordinates):
Ag 0.0000 0.2155 0.4076  2 S 2.50, 1 I 2.78
Ag 0.0000 0.7845 0.9076  2 S 2.50, 1 I 2.78
Ag 0.0000 0.7845 0.5924  2 S 2.50, 1 I 2.78
Ag 0.0000 0.2155 0.0924  2 S 2.50, 1 I 2.78
Hg 0.5000 0.2300 0.7500  2 S 2.40
Hg 0.5000 0.5000 0.0000  2 S 2.41
Hg 0.5000 0.7700 0.2500  2 S 2.40
Hg 0.5000 0.5000 0.5000  2 S 2.41
S 0.5000 0.2623 0.5055  2 Hg 2.40-2.41, 2 Ag 2.50
S 0.5000 0.7377 0.4945  2 Hg 2.40-2.41, 2 Ag 2.50
S 0.5000 0.2623 0.9945  2 Hg 2.40-2.41, 2 Ag 2.50
S 0.5000 0.7377 0.0055  2 Hg 2.40-2.41, 2 Ag 2.50
I 0.0000 0.5265 0.7500  2 Ag 3.03, 4 Hg 3.33
I 0.0000 0.9874 0.2500  2 Ag 2.78
I 0.0000 0.4735 0.2500  2 Ag 3.03, 4 Hg 3.33
I 0.0000 0.0126 0.7500  2 Ag 2.78

---

List of relative energies, unit kJ/mol of atoms: A 0.6; B 0.0

---

## A
Material: InAg2Hg
Method: DFT, PBEsol
State: relaxed

Output
- DOS(E_F) (states/eV/cell) = 1.413
- total magnetization (Bohr magnetons per cell) = 0.00

Cell lengths 4.2291, 4.2291, 5.1954 Å; angles 114.02, 114.02, 90.00 degrees
Closest atoms and distances in Å follow each position.
Atoms (fractional coordinates):
Hg 0.5000 0.5000 0.0000  8 Ag 2.99-3.00, 4 In 3.00
Ag 0.0000 0.0000 0.0000  4 Hg 2.99, 4 In 3.00, 4 Ag 3.00
Ag 0.7500 0.2500 0.5000  4 In 2.99, 4 Hg 3.00, 4 Ag 3.00
In 0.2500 0.7500 0.5000  8 Ag 2.99-3.00, 4 Hg 3.00

---

## B
Material: InAg2Hg
Method: DFT, PBEsol
State: relaxed

Output
- DOS(E_F) (states/eV/cell) = 1.207
- total magnetization (Bohr magnetons per cell) = 0.00

Cell lengths 3.4380, 3.7854, 5.9465 Å; angles 90.00, 90.00, 90.00 degrees
Closest atoms and distances in Å follow each position.
Atoms (fractional coordinates):
Hg 0.0000 0.0000 0.4840  6 Ag 2.84-3.11, 4 In 3.05
Ag 0.0000 0.0000 0.0069  2 Hg 2.84-3.11, 4 Ag 2.92, 4 In 2.93
Ag 0.5000 0.5000 0.2439  2 In 2.85-3.10, 4 Ag 2.92, 4 Hg 2.93
In 0.5000 0.5000 0.7652  6 Ag 2.85-3.10, 4 Hg 3.05

---

List of relative energies, unit kJ/mol of atoms: A 0.8; B 0.0

---

## A
Material: InAgHg
Method: DFT, PBEsol
State: relaxed

Output
- DOS(E_F) (states/eV/cell) = 0.890
- total magnetization (Bohr magnetons per cell) = 0.00

Cell lengths 3.2269, 3.2269, 6.9295 Å; angles 90.00, 90.00, 120.00 degrees
Closest atoms and distances in Å follow each position.
Atoms (fractional coordinates):
Hg 0.3333 0.6667 0.6800  3 Ag 2.90, 3 In 3.11, 6 Hg 3.23
Ag 0.0000 0.0000 0.9999  3 Hg 2.90, 3 In 2.90, 6 Ag 3.23
In 0.6667 0.3333 0.3201  3 Ag 2.90, 3 Hg 3.11, 6 In 3.23

---

## B
Material: InAgHg
Method: DFT, PBEsol
State: relaxed

Output
- DOS(E_F) (states/eV/cell) = 1.144
- total magnetization (Bohr magnetons per cell) = 0.00

Cell lengths 3.0913, 3.0913, 6.7290 Å; angles 90.24, 90.24, 89.96 degrees
Closest atoms and distances in Å follow each position.
Atoms (fractional coordinates):
Hg 0.5052 0.5052 0.2934  1 In 2.80, 4 Ag 2.95-2.97, 4 Hg 3.09
Ag 0.9999 0.9999 0.9974  4 In 2.92-2.93, 4 Hg 2.95-2.97, 4 Ag 3.09
In 0.4950 0.4950 0.7092  1 Hg 2.80, 4 Ag 2.92-2.93, 4 In 3.09

---

List of relative energies, unit kJ/mol of atoms: A 1.9; B 0.0

---

## A
Material: KAgHg
Method: DFT, PBEsol
State: relaxed

Output
- DOS(E_F) (states/eV/cell) = 1.251
- total magnetization (Bohr magnetons per cell) = 0.00

Cell lengths 5.0792, 5.0792, 5.0792 Å; angles 60.00, 60.00, 60.00 degrees
Closest atoms and distances in Å follow each position.
Atoms (fractional coordinates):
Ag 0.5000 0.5000 0.5000  4 Hg 3.11
Hg 0.2500 0.2500 0.2500  4 K 3.11, 4 Ag 3.11
K 0.0000 0.0000 0.0000  4 Hg 3.11

---

## B
Material: KAgHg
Method: DFT, PBEsol
State: relaxed

Output
- DOS(E_F) (states/eV/cell) = 0.911
- total magnetization (Bohr magnetons per cell) = 0.00

Cell lengths 4.2777, 4.8344, 4.8344 Å; angles 120.00, 90.00, 90.00 degrees
Closest atoms and distances in Å follow each position.
Atoms (fractional coordinates):
K 0.5000 0.6667 0.3333  6 Ag 3.52, 6 Hg 3.52
Hg 0.0000 0.3333 0.6667  3 Ag 2.79
Ag 0.0000 0.0000 0.0000  3 Hg 2.79

---

List of relative energies, unit kJ/mol of atoms: A 15.8; B 0.0